A plane-wave DFT calculation with PBE was carried out for a relaxed structure of TmLuHfZr.

Unit cell a=5.268 b=5.268 c=5.268 alpha=60.00 beta=60.00 gamma=60.00
Last column: magnetic moment on the atom in μB.
Positions (direct):
Lu  0.750  0.750  0.750  0.15
Zr  0.500  0.500  0.500  0.58
Hf  0.250  0.250  0.250  0.54
Tm  0.000  0.000  0.000  0.20

Computed properties:
**Mass density**: 9.859 Mg/m³
**Formation enthalpy at 0 K**: 0.23 eV/atom
**Fermi-level density of states**: 7.95 states/eV per cell


A plane-wave DFT calculation with PBE was carried out for a relaxed structure of LuHf2W.

Unit cell a=3.424 b=3.424 c=7.555 alpha=90.00 beta=90.00 gamma=90.00
Positions (direct):
Hf  0.000  0.000  0.799
Hf  0.000  0.000  0.201
W  0.500  0.500  0.000
Lu  0.500  0.500  0.500

Computed properties:
**Mass density**: 13.417 Mg/m³
**Formation enthalpy at 0 K**: 0.14 eV/atom
**Fermi-level density of states**: 4.96 states/eV per cell


A plane-wave DFT calculation with PBE was carried out for a relaxed structure of Y2LuHf.

Unit cell a=3.993 b=3.993 c=7.180 alpha=90.00 beta=90.00 gamma=90.00
Positions (direct):
Y  0.000  0.000  0.272
Y  0.000  0.000  0.728
Lu  0.500  0.500  0.000
Hf  0.500  0.500  0.500

Computed properties:
**ΔE to the lowest computed polymorph**: 0.080 eV/atom
**Mass density**: 7.708 Mg/m³
**Formation enthalpy at 0 K**: 0.23 eV/atom
**Fermi-level density of states**: 7.17 states/eV per cell


A plane-wave DFT calculation with PBE was carried out for a relaxed structure of YLuHf.

Unit cell a=3.367 b=3.367 c=8.359 alpha=90.00 beta=90.00 gamma=120.00
Positions (direct):
Hf  0.667  0.333  0.336
Y  0.000  0.000  0.018
Lu  0.333  0.667  0.646

Computed properties:
**Mass density**: 8.951 Mg/m³
**Formation enthalpy at 0 K**: 0.13 eV/atom
**Fermi-level density of states**: 3.86 states/eV per cell


A plane-wave DFT calculation with PBE was carried out for a relaxed structure of Y2LuHf.

Unit cell a=4.817 b=4.842 c=4.842 alpha=90.00 beta=90.00 gamma=90.00
Positions (direct):
Lu  0.500  0.500  0.500
Hf  0.500  0.000  0.000
Y  0.000  0.500  0.000
Y  0.000  0.000  0.500

Computed properties:
**ΔE to the lowest computed polymorph**: 0.000 eV/atom
**Mass density**: 7.811 Mg/m³
**Formation enthalpy at 0 K**: 0.15 eV/atom
**Fermi-level density of states**: 6.00 states/eV per cell


A plane-wave DFT calculation with PBE was carried out for a relaxed structure of LuHf2Zn.

Unit cell a=3.220 b=3.220 c=8.350 alpha=90.00 beta=90.00 gamma=90.00
Positions (direct):
Lu  0.500  0.500  0.500
Zn  0.500  0.500  0.000
Hf  0.000  0.000  0.217
Hf  0.000  0.000  0.783

Computed properties:
**Mass density**: 11.456 Mg/m³
**Formation enthalpy at 0 K**: -0.01 eV/atom
**Fermi-level density of states**: 4.71 states/eV per cell


A plane-wave DFT calculation with PBE was carried out for a relaxed structure of LuHfZn2.

Unit cell a=3.386 b=3.386 c=6.813 alpha=90.00 beta=90.00 gamma=90.00
Positions (direct):
Lu  0.500  0.500  0.500
Zn  0.000  0.000  0.767
Zn  0.000  0.000  0.233
Hf  0.500  0.500  0.000

Computed properties:
**ΔE to the lowest computed polymorph**: 0.000 eV/atom
**Mass density**: 10.297 Mg/m³
**Formation enthalpy at 0 K**: -0.25 eV/atom
**Fermi-level density of states**: 3.61 states/eV per cell


A plane-wave DFT calculation with PBE was carried out for a relaxed structure of LuHfZn2.

Unit cell a=4.796 b=4.796 c=4.796 alpha=60.00 beta=60.00 gamma=60.00
Positions (direct):
Hf  0.500  0.500  0.500
Lu  0.000  0.000  0.000
Zn  0.250  0.250  0.250
Zn  0.750  0.750  0.750

Computed properties:
**ΔE to the lowest computed polymorph**: 0.039 eV/atom
**Mass density**: 10.306 Mg/m³
**Formation enthalpy at 0 K**: -0.21 eV/atom
**Fermi-level density of states**: 4.11 states/eV per cell


A plane-wave DFT calculation with PBE was carried out for a relaxed structure of Lu2HfZr.

Unit cell a=3.912 b=3.912 c=6.639 alpha=90.00 beta=90.00 gamma=90.00
Positions (direct):
Lu  0.000  0.000  0.250
Lu  0.000  0.000  0.750
Hf  0.500  0.500  0.000
Zr  0.500  0.500  0.500

Computed properties:
**ΔE to the lowest computed polymorph**: 0.134 eV/atom
**Mass density**: 10.125 Mg/m³
**Formation enthalpy at 0 K**: 0.24 eV/atom
**Fermi-level density of states**: 6.39 states/eV per cell


A plane-wave DFT calculation with PBE was carried out for a relaxed structure of Lu2HfZr.

Unit cell a=3.279 b=3.279 c=11.032 alpha=81.45 beta=81.45 gamma=60.00
Positions (direct):
Zr  0.500  0.500  0.500
Lu  0.749  0.749  0.753
Lu  0.251  0.251  0.247
Hf  0.000  0.000  0.000

Computed properties:
**ΔE to the lowest computed polymorph**: 0.000 eV/atom
**Mass density**: 10.164 Mg/m³
**Formation enthalpy at 0 K**: 0.11 eV/atom
**Fermi-level density of states**: 5.27 states/eV per cell


A plane-wave DFT calculation with PBE was carried out for a relaxed structure of LuHf2Zr.

Unit cell a=3.756 b=3.756 c=6.817 alpha=90.00 beta=90.00 gamma=90.00
Positions (direct):
Hf  0.000  0.000  0.783
Hf  0.000  0.000  0.217
Lu  0.500  0.500  0.500
Zr  0.500  0.500  0.000

Computed properties:
**ΔE to the lowest computed polymorph**: 0.028 eV/atom
**Mass density**: 10.763 Mg/m³
**Formation enthalpy at 0 K**: 0.14 eV/atom
**Fermi-level density of states**: 4.72 states/eV per cell


A plane-wave DFT calculation with PBE was carried out for a relaxed structure of Lu2HfZr.

Unit cell a=4.723 b=4.631 c=4.631 alpha=90.00 beta=90.00 gamma=90.00
Positions (direct):
Lu  0.000  0.000  0.500
Lu  0.000  0.500  0.000
Zr  0.500  0.500  0.500
Hf  0.500  0.000  0.000

Computed properties:
**ΔE to the lowest computed polymorph**: 0.000 eV/atom
**Mass density**: 10.157 Mg/m³
**Formation enthalpy at 0 K**: 0.11 eV/atom
**Fermi-level density of states**: 5.09 states/eV per cell


Q: What is the Fermi-level density of states in the sixth record?
A: 4.71 states/eV per cell


Q: Number 8 is which compound?
A: LuHfZn2


Q: What is the formula in the first record?
A: TmLuHfZr